Record 1
VASP calculation (PBEsol) on crystalline TcW2I2 at its relaxed geometry.

abc: 4.2864 4.2864 6.6014
angles: 108.94 108.94 90.00
Closest atoms and distances in Å follow each position.
Atoms (fractional coordinates):
I 0.2500 0.7500 0.5000  4 W 2.76, 4 I 3.03
I 0.7500 0.2500 0.5000  4 W 2.76, 4 I 3.03
Tc 0.0000 0.0000 0.0000  8 W 3.26, 8 I 3.63
W 0.3982 0.3982 0.7964  1 W 2.39
W 0.6018 0.6018 0.2036  1 W 2.39

## Properties
Density of states at the Fermi level = 0.94 states/eV/atom
Crystal system = tetragonal
Space-group type = I4/mmm
Size of the total moment = 1.636 Bohr magnetons per cell

Record 2
VASP calculation (PBEsol) on crystalline TcW3I at its relaxed geometry.

abc: 4.7227 4.7227 4.7227
angles: 90.00 90.00 90.00
Closest atoms and distances in Å follow each position.
Atoms (fractional coordinates):
I 0.5000 0.5000 0.5000  12 W 3.34
Tc 0.0000 0.0000 0.0000  6 W 2.36
W 0.0000 0.5000 0.0000  2 Tc 2.36
W 0.0000 0.0000 0.5000  2 Tc 2.36
W 0.5000 0.0000 0.0000  2 Tc 2.36

## Properties
Density of states at the Fermi level = 1.19 states/eV/atom
Crystal system = cubic
Space-group type = Pm-3m
Size of the total moment = 0.000 Bohr magnetons per cell

Record 3
VASP calculation (PBEsol) on crystalline Zn3TcI at its relaxed geometry.

abc: 5.1438 5.1438 5.1438
angles: 90.00 90.00 90.00
Closest atoms and distances in Å follow each position.
Atoms (fractional coordinates):
I 0.0000 0.0000 0.0000  6 Zn 2.57
Zn 0.0000 0.5000 0.0000  2 I 2.57
Zn 0.0000 0.0000 0.5000  2 I 2.57
Zn 0.5000 0.0000 0.0000  2 I 2.57
Tc 0.5000 0.5000 0.5000  12 Zn 3.64

## Properties
Density of states at the Fermi level = 0.88 states/eV/atom
Crystal system = cubic
Space-group type = Pm-3m
Size of the total moment = 3.662 Bohr magnetons per cell

Record 4
VASP calculation (PBEsol) on crystalline ZrTc2I at its relaxed geometry.

abc: 4.6004 4.6004 4.6004
angles: 60.00 60.00 60.00
Closest atoms and distances in Å follow each position.
Atoms (fractional coordinates):
I 0.5000 0.5000 0.5000  8 Tc 2.82
Tc 0.2500 0.2500 0.2500  4 I 2.82, 4 Zr 2.82
Tc 0.7500 0.7500 0.7500  4 I 2.82, 4 Zr 2.82
Zr 0.0000 0.0000 0.0000  8 Tc 2.82

## Properties
Density of states at the Fermi level = 0.68 states/eV/atom
Crystal system = cubic
Space-group type = Fm-3m
Size of the total moment = 0.000 Bohr magnetons per cell

Record 5
VASP calculation (PBEsol) on crystalline ZrTcI3 at its relaxed geometry.

abc: 5.6204 5.6204 5.6204
angles: 90.00 90.00 90.00
Closest atoms and distances in Å follow each position.
Atoms (fractional coordinates):
I 0.0000 0.5000 0.0000  2 Zr 2.81
I 0.0000 0.0000 0.5000  2 Zr 2.81
I 0.5000 0.0000 0.0000  2 Zr 2.81
Tc 0.5000 0.5000 0.5000  12 I 3.97
Zr 0.0000 0.0000 0.0000  6 I 2.81

## Properties
Density of states at the Fermi level = 1.26 states/eV/atom
Crystal system = cubic
Space-group type = Pm-3m
Size of the total moment = 5.171 Bohr magnetons per cell

Record 6
VASP calculation (PBEsol) on crystalline TeI2 at its relaxed geometry.

abc: 4.0468 8.3091 8.3091
angles: 90.00 90.00 90.00
Closest atoms and distances in Å follow each position.
Atoms (fractional coordinates):
I 0.0000 0.3140 0.3140  2 Te 2.98
I 0.0000 0.6860 0.6860  2 Te 2.98
I 0.5000 0.1860 0.8140  2 Te 2.98
I 0.5000 0.8140 0.1860  2 Te 2.98
Te 0.0000 0.0000 0.0000  4 I 2.98
Te 0.5000 0.5000 0.5000  4 I 2.98

## Properties
Crystal system = tetragonal
Space-group type = P4_2/mnm
Size of the total moment = 0.000 Bohr magnetons per cell

Record 7
VASP calculation (PBEsol) on crystalline TeI4 at its relaxed geometry.

abc: 11.6177 13.1891 13.1891
angles: 78.82 63.87 63.87
Closest atoms and distances in Å follow each position.
Atoms (fractional coordinates):
I 0.7570 0.3769 0.3769  1 Te 2.78
I 0.5109 0.6231 0.6231  1 Te 2.78
I 0.8840 0.8769 0.1231  1 Te 2.78
I 0.8840 0.1231 0.8769  1 Te 2.78
I 0.2391 0.8769 0.8769  1 Te 2.78
I 0.9930 0.1231 0.1231  1 Te 2.78
I 0.8660 0.6231 0.3769  1 Te 2.78
I 0.8660 0.3769 0.6231  1 Te 2.78
I 0.2496 0.3705 0.3705  3 Te 3.19-3.21
I 0.9905 0.6295 0.6295  3 Te 3.19-3.21
I 0.3700 0.8705 0.1295  3 Te 3.19-3.21
I 0.3700 0.1295 0.8705  3 Te 3.19-3.21
I 0.7595 0.8705 0.8705  3 Te 3.19-3.21
I 0.5004 0.1295 0.1295  3 Te 3.19-3.21
I 0.3800 0.6295 0.3705  3 Te 3.19-3.21
I 0.3800 0.3705 0.6295  3 Te 3.19-3.21
I 0.6351 0.3754 0.1260  1 Te 2.79
I 0.1365 0.6246 0.8740  1 Te 2.79
I 0.7605 0.6260 0.1246  1 Te 2.79
I 0.5111 0.3740 0.8754  1 Te 2.79
I 0.6135 0.6260 0.8754  1 Te 2.79
I 0.1149 0.3740 0.1246  1 Te 2.79
I 0.2389 0.6246 0.1260  1 Te 2.79
I 0.9895 0.3754 0.8740  1 Te 2.79
I 0.1149 0.1246 0.3740  1 Te 2.79
I 0.6135 0.8754 0.6260  1 Te 2.79
I 0.9895 0.8740 0.3754  1 Te 2.79
I 0.2389 0.1260 0.6246  1 Te 2.79
I 0.1365 0.8740 0.6246  1 Te 2.79
I 0.6351 0.1260 0.3754  1 Te 2.79
I 0.5111 0.8754 0.3740  1 Te 2.79
I 0.7605 0.1246 0.6260  1 Te 2.79
Te 0.5351 0.3611 0.3611  3 I 2.78-2.79
Te 0.2573 0.6389 0.6389  3 I 2.78-2.79
Te 0.6462 0.8611 0.1389  3 I 2.78-2.79
Te 0.6462 0.1389 0.8611  3 I 2.78-2.79
Te 0.4927 0.8611 0.8611  3 I 2.78-2.79
Te 0.2149 0.1389 0.1389  3 I 2.78-2.79
Te 0.1038 0.6389 0.3611  3 I 2.78-2.79
Te 0.1038 0.3611 0.6389  3 I 2.78-2.79

## Properties
Crystal system = tetragonal
Space-group type = I4_1/amd
Energy relative to the lowest polymorph listed for this composition = 16 meV/atom
Size of the total moment = 0.000 Bohr magnetons per cell

Record 8
VASP calculation (PBEsol) on crystalline TeI at its relaxed geometry.

abc: 4.1784 7.9814 9.5327
angles: 88.04 77.34 74.83
Closest atoms and distances in Å follow each position.
Atoms (fractional coordinates):
I 0.5336 0.1232 0.8096  2 Te 3.09
I 0.3353 0.7720 0.5575  1 Te 2.79
I 0.6647 0.2280 0.4425  1 Te 2.79
I 0.4664 0.8768 0.1904  2 Te 3.09
Te 0.1183 0.5807 0.1828  3 Te 2.92-3.24, 2 I 3.09
Te 0.7650 0.3169 0.1531  1 I 2.79, 2 Te 2.92
Te 0.2350 0.6831 0.8469  1 I 2.79, 2 Te 2.92
Te 0.8817 0.4193 0.8172  3 Te 2.92-3.24, 2 I 3.09

## Properties
Crystal system = monoclinic
Space-group type = C2/m
Energy relative to the lowest polymorph listed for this composition = 0 meV/atom
Size of the total moment = 0.000 Bohr magnetons per cell

| no. | ΔE_f (raw) (eV/f.u.) |
| --- | --- |
| 1 | 9.31 |
| 2 | 11.02 |
| 3 | 9.36 |
| 4 | 1.70 |
| 5 | 3.96 |
| 6 | 0.04 |
| 7 | -0.40 |
| 8 | -0.12 |